Crystalline Tb5TmThSc2 at its relaxed geometry. Source: Alexandria, functional PBE-GGA.

Computed properties:
**ρ**: 7.6 Mg/m³

POSCAR file:
```
Tb5TmThSc2
1.0
2.8012 -10.6551 0.0000
2.8012 10.6551 0.0000
0.0000 0.0000 9.4067
Tb Tm Th Sc
10 2 2 4
direct
0.0102 0.9898 0.5000 Tb
0.2665 0.7335 0.8191 Tb
0.3044 0.6956 0.2020 Tb
0.3904 0.6096 0.5327 Tb
0.4689 0.5311 0.2349 Tb
0.5311 0.4689 0.7349 Tb
0.6096 0.3904 0.0327 Tb
0.6956 0.3044 0.7020 Tb
0.7335 0.2665 0.3191 Tb
0.9898 0.0102 0.0000 Tb
0.4029 0.5971 0.9106 Tm
0.5971 0.4029 0.4106 Tm
0.1837 0.8163 0.5104 Th
0.8163 0.1837 0.0104 Th
0.1134 0.8866 0.8110 Sc
0.1329 0.8671 0.1971 Sc
0.8671 0.1329 0.6971 Sc
0.8866 0.1134 0.3110 Sc
```

***

Crystalline Tb6Tm3ThSc2 at its relaxed geometry. Source: Alexandria, functional PBE-GGA.

Computed properties:
**ρ**: 8.2 Mg/m³

POSCAR file:
```
Tb6Tm3ThSc2
1.0
3.0220 -5.2326 0.0000
3.0220 5.2326 0.0000
-2.0124 0.0000 11.4567
Tb Tm Th Sc
6 3 1 2
direct
0.0825 0.4155 0.2471 Tb
0.2504 0.2504 0.7529 Tb
0.4155 0.0825 0.2471 Tb
0.5845 0.9175 0.7529 Tb
0.7496 0.7496 0.2471 Tb
0.9175 0.5845 0.7529 Tb
0.1675 0.8325 0.5000 Tm
0.5000 0.5000 0.5000 Tm
0.8325 0.1675 0.5000 Tm
0.0000 0.0000 0.0000 Th
0.3333 0.6667 0.0000 Sc
0.6667 0.3333 0.0000 Sc
```

***

no.,ΔH_f (0 K) (eV per formula unit)
1,1.6
2,0.5